1.
The following is a DFT calculation (PBE) of crystalline CaMn2Hg at its relaxed geometry.

Structure (POSCAR):
```
CaMn2Hg
1.0
-3.072 -3.227 -0.223
0.178 -3.448 2.825
-3.942 0.369 4.231
Mn Ca Hg
2 1 1
Cartesian
-3.793 0.239 4.062
-5.613 -4.306 5.674
-3.452 -3.124 3.454
-1.338 -1.899 1.289
```

Calculated values
DFT total energy, eV/atom: -5.0070
Formation energy from the elements, eV per atom: 0.15
D(E_F), states/eV per atom: 0.5480
Crystal system: trigonal

2.
The following is a DFT calculation (PBE) of crystalline CaMn2Hg at its relaxed geometry.

Structure (POSCAR):
```
CaMn2Hg
1.0
-3.953 1.041 -0.959
-1.349 -1.915 3.484
-1.612 8.313 6.475
Mn Hg Ca
4 2 2
Cartesian
-1.598 0.974 3.711
-3.149 5.976 5.678
-5.897 5.400 7.192
-3.185 2.527 1.420
0.000 0.000 0.000
-4.108 4.458 3.390
-2.806 2.980 5.611
-2.651 -0.437 1.263
```

Calculated values
DFT total energy, eV/atom: -4.6049
Formation energy from the elements, eV per atom: 0.56
D(E_F), states/eV per atom: 1.0221
Crystal system: tetragonal

3.
The following is a DFT calculation (PBE) of crystalline CaMn2Hg at its relaxed geometry.

Structure (POSCAR):
```
CaMn2Hg
1.0
5.808 -0.021 -0.036
2.693 5.146 0.036
-3.722 -3.440 2.837
Ca Hg Mn
1 1 2
Cartesian
1.611 2.134 1.437
3.168 -0.449 1.401
8.284 4.994 0.000
4.468 2.693 0.000
```

Calculated values
DFT total energy, eV/atom: -4.7931
Formation energy from the elements, eV per atom: 0.37
D(E_F), states/eV per atom: 0.7528
Crystal system: orthorhombic